Record 1
This record from the Alexandria database describes a relaxed LiPr3Sn6Pd2 crystal. The functional is PBE.

Lattice parameters (Å, degrees): 6.5085 6.5085 8.6382 90.00 90.00 120.00
Space group P-3m1 (No. 164)
One atom of each set of equivalent atoms:
Li1 0.0000 0.0000 0.0000 x1
Pr1 0.0000 0.0000 0.5000 x1
Pr2 0.3333 0.6667 0.1188 x2
Sn1 0.1798 0.3596 0.7805 x6
Pd1 0.3333 0.6667 0.5301 x2

Calculated values
* crystal system: trigonal

Record 2
This record from the Alexandria database describes a relaxed Li2PrSnPd4 crystal. The functional is PBE.

Lattice parameters (Å, degrees): 4.5895 4.5895 23.5891 90.00 90.00 120.00
Space group R-3m (No. 166, hexagonal axes)
One atom of each set of equivalent atoms:
Li1 0.0000 0.0000 0.2418 x6
Pr1 0.0000 0.0000 0.0000 x3
Sn1 0.0000 0.0000 0.5000 x3
Pd1 0.0000 0.0000 0.1276 x6
Pd2 0.0000 0.0000 0.3880 x6

Calculated values
* crystal system: trigonal

Record 3
This record from the Alexandria database describes a relaxed LiPr2SnPd6 crystal. The functional is PBE.

Lattice parameters (Å, degrees): 5.602 6.518 6.699 72.02 65.34 64.62
Space group P-1 (No. 2)
One atom of each set of equivalent atoms:
Li1 0.000 0.000 0.000 x1
Pr1 0.499 0.246 0.756 x2
Sn1 0.000 0.500 0.500 x1
Pd1 0.003 0.808 0.695 x2
Pd2 0.183 0.577 0.059 x2
Pd3 0.494 0.808 0.695 x2

Calculated values
* crystal system: triclinic

Record 4
This record from the Alexandria database describes a relaxed LiPrSn2Pd4 crystal. The functional is PBE.

Lattice parameters (Å, degrees): 4.5469 4.5469 25.5852 90.00 90.00 120.00
Space group R-3m (No. 166, hexagonal axes)
One atom of each set of equivalent atoms:
Li1 0.0000 0.0000 0.0000 x3
Pr1 0.0000 0.0000 0.5000 x3
Sn1 0.0000 0.0000 0.2609 x6
Pd1 0.0000 0.0000 0.0991 x6
Pd2 0.0000 0.0000 0.3690 x6

Calculated values
* crystal system: trigonal

Record 5
This record from the Alexandria database describes a relaxed LiPrSnPd3 crystal. The functional is PBE.

Lattice parameters (Å, degrees): 5.833 12.458 6.555 90.00 90.00 90.00
Space group Cmcm (No. 63)
One atom of each set of equivalent atoms:
Li1 0.000 0.087 0.250 x4
Pr1 0.000 0.325 0.250 x4
Sn1 0.000 0.369 0.750 x4
Pd1 0.000 0.154 0.750 x4
Pd2 0.250 0.000 0.000 x8

Calculated values
* crystal system: orthorhombic

Record 6
This record from the Alexandria database describes a relaxed Li2PrSnPd crystal. The functional is PBE.

Lattice parameters (Å, degrees): 3.829 4.482 12.383 90.00 90.00 90.00
Space group Imm2 (No. 44)
One atom of each set of equivalent atoms:
Li1 0.000 0.000 0.000 x2
Li2 0.000 0.500 0.346 x2
Pr1 0.000 0.500 0.720 x2
Sn1 0.000 0.000 0.475 x2
Pd1 0.000 0.500 0.138 x2

Calculated values
* crystal system: orthorhombic

Record 7
This record from the Alexandria database describes a relaxed Li2Pr2TlPd5 crystal. The functional is PBE.

Lattice parameters (Å, degrees): 9.735 9.735 3.890 90.00 90.00 90.00
Space group P4/mbm (No. 127)
One atom of each set of equivalent atoms:
Li1 0.117 0.383 0.000 x4
Pr1 0.180 0.680 0.000 x4
Tl1 0.000 0.000 0.000 x2
Pd1 0.000 0.500 0.500 x2
Pd2 0.068 0.214 0.500 x8

Calculated values
* crystal system: tetragonal

Record 8
This record from the Alexandria database describes a relaxed LiPrTl2Pd4 crystal. The functional is PBE.

Lattice parameters (Å, degrees): 4.7241 4.7241 24.1287 90.00 90.00 120.00
Space group R-3m (No. 166, hexagonal axes)
One atom of each set of equivalent atoms:
Li1 0.0000 0.0000 0.0000 x3
Pr1 0.0000 0.0000 0.5000 x3
Tl1 0.0000 0.0000 0.2565 x6
Pd1 0.0000 0.0000 0.1070 x6
Pd2 0.0000 0.0000 0.3740 x6

Calculated values
* crystal system: trigonal

Record 9
This record from the Alexandria database describes a relaxed LiPrTlPd crystal. The functional is PBE.

Lattice parameters (Å, degrees): 7.010 7.010 7.010 90.00 90.00 90.00
Space group F-43m (No. 216)
One atom of each set of equivalent atoms:
Li1 0.000 0.000 0.000 x4
Pr1 0.250 0.250 0.750 x4
Tl1 0.250 0.250 0.250 x4
Pd1 0.000 0.000 0.500 x4

Calculated values
* crystal system: cubic

Record 10
This record from the Alexandria database describes a relaxed LiPrYPd crystal. The functional is PBE.

Lattice parameters (Å, degrees): 7.275 7.275 7.275 90.00 90.00 90.00
Space group F-43m (No. 216)
One atom of each set of equivalent atoms:
Li1 0.000 0.000 0.000 x4
Pr1 0.250 0.250 0.750 x4
Y1 0.250 0.250 0.250 x4
Pd1 0.000 0.000 0.500 x4

Calculated values
* crystal system: cubic

Record 11
This record from the Alexandria database describes a relaxed LiPrZnPd2 crystal. The functional is PBE.

Lattice parameters (Å, degrees): 4.026 4.026 11.911 90.00 90.00 90.00
Space group I-4m2 (No. 119)
One atom of each set of equivalent atoms:
Li1 0.000 0.000 0.000 x2
Pr1 0.000 0.500 0.750 x2
Zn1 0.000 0.000 0.500 x2
Pd1 0.000 0.500 0.136 x4

Calculated values
* crystal system: tetragonal

Record 12
This record from the Alexandria database describes a relaxed LiPr2Zn4Pd3 crystal. The functional is PBE.

Lattice parameters (Å, degrees): 4.261 4.261 10.798 90.00 90.00 90.00
Space group P-4m2 (No. 115)
One atom of each set of equivalent atoms:
Li1 0.000 0.000 0.000 x1
Pr1 0.000 0.500 0.742 x2
Zn1 0.000 0.000 0.500 x1
Zn2 0.000 0.500 0.130 x2
Zn3 0.500 0.500 0.500 x1
Pd1 0.000 0.500 0.364 x2
Pd2 0.500 0.500 0.000 x1

Calculated values
* crystal system: tetragonal

Record 13
This record from the Alexandria database describes a relaxed LiPrZnPd crystal. The functional is PBE.

Lattice parameters (Å, degrees): 6.954 6.954 6.954 90.00 90.00 90.00
Space group F-43m (No. 216)
One atom of each set of equivalent atoms:
Li1 0.000 0.000 0.000 x4
Pr1 0.000 0.000 0.500 x4
Zn1 0.250 0.250 0.750 x4
Pd1 0.250 0.250 0.250 x4

Calculated values
* crystal system: cubic

Record 14
This record from the Alexandria database describes a relaxed LiPr2Zn2Pd5 crystal. The functional is PBE.

Lattice parameters (Å, degrees): 9.867 9.867 3.841 90.00 90.00 90.00
Space group P4/mbm (No. 127)
One atom of each set of equivalent atoms:
Li1 0.000 0.000 0.000 x2
Pr1 0.180 0.320 0.000 x4
Zn1 0.118 0.618 0.000 x4
Pd1 0.000 0.500 0.500 x2
Pd2 0.065 0.794 0.500 x8

Calculated values
* crystal system: tetragonal

Record 15
This record from the Alexandria database describes a relaxed Li15Pd2Pt2 crystal. The functional is PBE.

Lattice parameters (Å, degrees): 7.4861 7.4861 17.5653 90.00 90.00 120.00
Space group R-3m (No. 166, hexagonal axes)
One atom of each set of equivalent atoms:
Li1 0.0000 0.3039 0.0000 x18
Li2 0.0000 0.5000 0.5000 x9
Li3 0.0870 0.5435 0.1020 x18
Pd1 0.0000 0.0000 0.0818 x6
Pt1 0.0000 0.0000 0.2933 x6

Calculated values
* crystal system: trigonal

Record 16
This record from the Alexandria database describes a relaxed LiPd2Pt2 crystal. The functional is PBE.

Lattice parameters (Å, degrees): 8.557 3.960 6.013 90.00 133.21 90.00
Space group C2/m (No. 12)
One atom of each set of equivalent atoms:
Li1 0.000 0.000 0.000 x2
Pd1 0.104 0.500 0.808 x4
Pt1 0.195 0.000 0.586 x4

Calculated values
* distance to the lowest polymorph of the same formula: 0.00 eV/f.u.
* crystal system: monoclinic

Record 17
This record from the Alexandria database describes a relaxed Li12Pd3Pt crystal. The functional is PBE.

Lattice parameters (Å, degrees): 3.885 3.885 15.428 90.00 90.00 90.00
Space group P4/mmm (No. 123)
One atom of each set of equivalent atoms:
Li1 0.000 0.000 0.000 x1
Li2 0.000 0.000 0.247 x2
Li3 0.000 0.000 0.500 x1
Li4 0.000 0.500 0.120 x4
Li5 0.000 0.500 0.374 x4
Pd1 0.500 0.500 0.248 x2
Pd2 0.500 0.500 0.500 x1
Pt1 0.500 0.500 0.000 x1

Calculated values
* crystal system: tetragonal

Record 18
This record from the Alexandria database describes a relaxed Li2PdPt crystal. The functional is PBE.

Lattice parameters (Å, degrees): 2.979 2.979 5.909 90.00 90.00 90.00
Space group P4/mmm (No. 123)
One atom of each set of equivalent atoms:
Li1 0.000 0.000 0.245 x2
Pd1 0.500 0.500 0.500 x1
Pt1 0.500 0.500 0.000 x1

Calculated values
* crystal system: tetragonal

Record 19
This record from the Alexandria database describes a relaxed LiPd5Pt2 crystal. The functional is PBE.

Lattice parameters (Å, degrees): 3.949 11.640 5.952 90.00 109.30 90.00
Space group P2_1/m (No. 11)
One atom of each set of equivalent atoms:
Li1 0.244 0.250 0.487 x2
Pd1 0.083 0.750 0.168 x2
Pd2 0.087 0.088 0.173 x4
Pd3 0.418 0.090 0.835 x4
Pt1 0.253 0.587 0.507 x4

Calculated values
* distance to the lowest polymorph of the same formula: 0.09 eV/f.u.
* crystal system: monoclinic

Record 20
This record from the Alexandria database describes a relaxed Li3PdPt crystal. The functional is PBE.

Lattice parameters (Å, degrees): 4.9286 4.9286 20.7033 90.00 90.00 120.00
Space group R-3m (No. 166, hexagonal axes)
One atom of each set of equivalent atoms:
Li1 0.0005 0.5002 0.2477 x18
Pd1 0.0000 0.0000 0.3164 x6
Pt1 0.0000 0.0000 0.1863 x6

Calculated values
* distance to the lowest polymorph of the same formula: 0.00 eV/f.u.
* crystal system: trigonal

Quick rundown of calculated formation energy, same order as above: -397; -589; -573; -711; -560; -471; -567; -451; -447; -349; -601; -517; -363; -569; -175; -259; -298; -466; 12; -305 meV per atom